Rb2TbCoF6 GGA+U relaxed; total magnetization = 0.1999 μB/atom; calculated total energy = -5.215 eV per atom
1.0
6.294 0.003 0.004
0.003 6.294 0.004
3.147 3.147 4.455
F Tb Rb Co
6 1 2 1
Cartesian
3.149 3.148 2.197
1.596 1.599 0.003
7.848 7.845 4.460
7.845 4.743 4.459
1.599 4.701 0.004
6.295 6.296 2.266
3.148 3.148 0.004
6.294 3.150 2.232
3.150 6.294 2.231
0.000 0.000 0.000